{
  "formula": "ZrTcSnGe2",
  "functional": "PBE",
  "state": "optimized geometry",
  "lattice": [[5.133, 0.000, 0.000], [0.000, 5.133, 0.000], [0.000, 0.000, 5.506]],
  "species": ["Zr", "Tc", "Sn", "Ge", "Ge"],
  "frac_coords": [[0.000, 0.000, 0.000], [0.500, 0.500, 0.500], [0.000, 0.000, 0.500], [0.000, 0.500, 0.000], [0.500, 0.000, 0.000]],
  "rho_g_cm3": 5.189,
  "final_energy_ev_per_atom": -5.25,
  "formation_energy_ev_per_atom": 1.181,
  "crystal_system": "tetragonal"
}